The following is a DFT calculation (PBE-GGA) of an optimized crystal structure of MgPtW.

abc: 4.6023 2.9256 7.5903
angles: 90.00 106.92 90.00
With the nearest neighbours (Å) after each atom.
Element x y z (fractional)
Mg: 0.0000 0.0000 0.0000  6 Pt 2.72-2.80, 3 Mg 2.93-3.05, 1 W 3.02
Mg: 0.3522 0.0000 0.7164  6 Pt 2.74-2.79, 3 Mg 2.93-3.05, 3 W 3.01-3.07
Pt: 0.5268 0.5000 0.0441  6 Mg 2.72-2.79, 3 W 2.78-2.81, 2 Pt 2.93
Pt: 0.8325 0.5000 0.6719  6 Mg 2.74-2.80, 3 W 2.76-2.83, 2 Pt 2.93
W: 0.0229 0.5000 0.3589  6 W 2.67-2.93, 2 Pt 2.76-2.78
W: 0.5082 0.0000 0.3574  6 W 2.67-2.93, 4 Pt 2.81-2.83

Properties
**Formation enthalpy at 0 K**: -0.270 eV per atom
**Symmetry**: Pm
**Polymorph energy (0 for the lowest one)**: 9 meV/atom